Density functional theory data (PBE-GGA) for HfMgNbRe after structural relaxation.

a b c (Å): 4.6521 4.6521 4.6521
angles (deg): 60.00 60.00 60.00
Closest atoms and distances in Å follow each position.
Fractional positions:
Hf 0.0000 0.0000 0.0000  4 Mg 2.85, 4 Nb 2.85
Mg 0.7500 0.7500 0.7500  4 Hf 2.85, 4 Re 2.85
Nb 0.2500 0.2500 0.2500  4 Hf 2.85, 4 Re 2.85
Re 0.5000 0.5000 0.5000  4 Nb 2.85, 4 Mg 2.85

Values from the calculation:
Crystal system   cubic
Energy above the lowest structure with this stoichiometry   151 meV per atom
E_tot   -33.48 eV/cell
Magnetization   0.006 μB/cell

---

Density functional theory data (PBE-GGA) for ScFeAsPd after structural relaxation.

a b c (Å): 4.4205 4.4205 4.4205
angles (deg): 60.00 60.00 60.00
Closest atoms and distances in Å follow each position.
Fractional positions:
Sc 0.0000 0.0000 0.0000  4 Fe 2.71, 4 Pd 2.71
Fe 0.7500 0.7500 0.7500  4 As 2.71, 4 Sc 2.71
As 0.5000 0.5000 0.5000  4 Pd 2.71, 4 Fe 2.71
Pd 0.2500 0.2500 0.2500  4 As 2.71, 4 Sc 2.71

Values from the calculation:
Crystal system   cubic
Energy above the lowest structure with this stoichiometry   45 meV per atom
E_tot   -26.02 eV/cell
Magnetization   1.841 μB/cell

---

Density functional theory data (PBE-GGA) for YGePt2 after structural relaxation.

a b c (Å): 5.4078 4.0728 7.1132
angles (deg): 90.00 94.45 90.00
Closest atoms and distances in Å follow each position.
Fractional positions:
Y 0.1762 0.2500 0.2106  7 Pt 2.86-3.05
Y 0.8238 0.7500 0.7894  7 Pt 2.86-3.05
Ge 0.3694 0.2500 0.6927  5 Pt 2.55-2.83
Ge 0.6306 0.7500 0.3073  5 Pt 2.55-2.83
Pt 0.1996 0.7500 0.5091  3 Ge 2.55-2.83
Pt 0.3355 0.7500 0.9241  2 Ge 2.63, 2 Y 2.86-2.88, 2 Pt 2.86
Pt 0.6645 0.2500 0.0759  2 Ge 2.63, 2 Y 2.86-2.88, 2 Pt 2.86
Pt 0.8004 0.2500 0.4909  3 Ge 2.55-2.83

Values from the calculation:
Crystal system   monoclinic
E_tot   -52.89 eV/cell
Magnetization   0.006 μB/cell

---

Density functional theory data (PBE-GGA) for PaP after structural relaxation.

a b c (Å): 4.4333 4.4333 4.4333
angles (deg): 60.00 60.00 60.00
Closest atoms and distances in Å follow each position.
Fractional positions:
Pa 0.0000 0.0000 0.0000  4 P 2.71
P 0.2500 0.2500 0.2500  4 Pa 2.71

Values from the calculation:
Crystal system   cubic
Energy above the lowest structure with this stoichiometry   1052 meV per atom
E_tot   -15.46 eV/cell
Magnetization   1.997 μB/cell

---

Density functional theory data (PBE-GGA) for CdBNO after structural relaxation.

a b c (Å): 4.3343 4.3343 6.0332
angles (deg): 98.35 98.35 93.10
Closest atoms and distances in Å follow each position.
Fractional positions:
Cd 0.2460 0.7540 0.0000  4 N 2.27-2.34
Cd 0.7540 0.2460 0.0000  4 N 2.27-2.34
B 0.3979 0.3979 0.3587  1 N 1.40, 2 O 1.44
B 0.6021 0.6021 0.6413  1 N 1.40, 2 O 1.44
N 0.2748 0.2748 0.1337  1 B 1.40
N 0.7252 0.7252 0.8663  1 B 1.40
O 0.3266 0.6734 0.5000  2 B 1.44
O 0.6734 0.3266 0.5000  2 B 1.44

Values from the calculation:
Crystal system   monoclinic
Energy above the lowest structure with this stoichiometry   16 meV per atom
E_tot   -48.43 eV/cell

---

Density functional theory data (PBE-GGA) for DyHoIr after structural relaxation.

a b c (Å): 4.6983 4.6983 4.6983
angles (deg): 60.00 60.00 60.00
Closest atoms and distances in Å follow each position.
Fractional positions:
Dy 0.0000 0.0000 0.0000  4 Ho 2.88, 4 Ir 2.88
Ho 0.7500 0.7500 0.7500  4 Dy 2.88
Ir 0.2500 0.2500 0.2500  4 Dy 2.88

Values from the calculation:
Crystal system   cubic
Energy above the lowest structure with this stoichiometry   927 meV per atom
E_tot   -17.48 eV/cell
Magnetization   0.003 μB/cell
ΔH_f (0 K)   0.184 eV/atom

---

- Among the records above, which one has the highest E_tot?
  PaP